No. 1
{
  "formula": "ThScZnCu",
  "functional": "GGA-PBE",
  "state": "optimized geometry",
  "cell": [[6.9992, 0.0000, 0.0000], [0.0000, 6.9992, 0.0000], [0.0000, 0.0000, 6.9992]],
  "species": ["Th", "Th", "Th", "Th", "Sc", "Sc", "Sc", "Sc", "Zn", "Zn", "Zn", "Zn", "Cu", "Cu", "Cu", "Cu"],
  "fractional_positions": [[0.0000, 0.0000, 0.0000], [0.0000, 0.5000, 0.5000], [0.5000, 0.0000, 0.5000], [0.5000, 0.5000, 0.0000], [0.0000, 0.0000, 0.5000], [0.0000, 0.5000, 0.0000], [0.5000, 0.0000, 0.0000], [0.5000, 0.5000, 0.5000], [0.2500, 0.2500, 0.7500], [0.2500, 0.7500, 0.2500], [0.7500, 0.2500, 0.2500], [0.7500, 0.7500, 0.7500], [0.2500, 0.2500, 0.2500], [0.2500, 0.7500, 0.7500], [0.7500, 0.2500, 0.7500], [0.7500, 0.7500, 0.2500]],
  "e_form_ev_per_atom": -0.1645,
  "volume_a3_per_atom": 21.4,
  "crystal_system": "cubic"
}

---

No. 2
{
  "formula": "ScTi2Cu",
  "functional": "GGA-PBE",
  "state": "optimized geometry",
  "cell": [[6.4656, 0.0000, 0.0000], [0.0000, 6.4656, 0.0000], [0.0000, 0.0000, 6.4656]],
  "species": ["Sc", "Sc", "Sc", "Sc", "Ti", "Ti", "Ti", "Ti", "Ti", "Ti", "Ti", "Ti", "Cu", "Cu", "Cu", "Cu"],
  "fractional_positions": [[0.0000, 0.0000, 0.0000], [0.0000, 0.5000, 0.5000], [0.5000, 0.0000, 0.5000], [0.5000, 0.5000, 0.0000], [0.2500, 0.2500, 0.2500], [0.2500, 0.2500, 0.7500], [0.2500, 0.7500, 0.2500], [0.2500, 0.7500, 0.7500], [0.7500, 0.2500, 0.2500], [0.7500, 0.2500, 0.7500], [0.7500, 0.7500, 0.2500], [0.7500, 0.7500, 0.7500], [0.0000, 0.0000, 0.5000], [0.0000, 0.5000, 0.0000], [0.5000, 0.0000, 0.0000], [0.5000, 0.5000, 0.5000]],
  "e_form_ev_per_atom": 0.2360,
  "volume_a3_per_atom": 16.9,
  "crystal_system": "cubic"
}

---

No. 3
{
  "formula": "Sc2Ti2Cu",
  "functional": "GGA-PBE",
  "state": "optimized geometry",
  "cell": [[6.5410, 0.0000, 0.0000], [0.0000, 6.5410, 0.0000], [0.0000, 0.0000, 4.5820]],
  "species": ["Sc", "Sc", "Sc", "Sc", "Ti", "Ti", "Ti", "Ti", "Cu", "Cu"],
  "fractional_positions": [[0.1635, 0.3365, 0.0000], [0.3365, 0.8365, 0.0000], [0.6635, 0.1635, 0.0000], [0.8365, 0.6635, 0.0000], [0.1387, 0.6387, 0.5000], [0.3613, 0.1387, 0.5000], [0.6387, 0.8613, 0.5000], [0.8613, 0.3613, 0.5000], [0.0000, 0.0000, 0.5000], [0.5000, 0.5000, 0.5000]],
  "e_form_ev_per_atom": 0.1615,
  "volume_a3_per_atom": 19.6,
  "crystal_system": "tetragonal"
}

---

No. 4
{
  "formula": "ScTiCu2",
  "functional": "GGA-PBE",
  "state": "optimized geometry",
  "cell": [[6.3464, 0.0000, 0.0000], [0.0000, 6.3464, 0.0000], [0.0000, 0.0000, 6.3464]],
  "species": ["Sc", "Sc", "Sc", "Sc", "Ti", "Ti", "Ti", "Ti", "Cu", "Cu", "Cu", "Cu", "Cu", "Cu", "Cu", "Cu"],
  "fractional_positions": [[0.0000, 0.0000, 0.0000], [0.0000, 0.5000, 0.5000], [0.5000, 0.0000, 0.5000], [0.5000, 0.5000, 0.0000], [0.0000, 0.0000, 0.5000], [0.0000, 0.5000, 0.0000], [0.5000, 0.0000, 0.0000], [0.5000, 0.5000, 0.5000], [0.2500, 0.2500, 0.2500], [0.2500, 0.2500, 0.7500], [0.2500, 0.7500, 0.2500], [0.2500, 0.7500, 0.7500], [0.7500, 0.2500, 0.2500], [0.7500, 0.2500, 0.7500], [0.7500, 0.7500, 0.2500], [0.7500, 0.7500, 0.7500]],
  "e_form_ev_per_atom": -0.1129,
  "volume_a3_per_atom": 16.0,
  "crystal_system": "cubic"
}

---

No. 5
{
  "formula": "ScTi2Cu",
  "functional": "GGA-PBE",
  "state": "optimized geometry",
  "cell": [[7.3445, 0.0000, 0.0000], [0.0000, 7.3445, 0.0000], [0.0000, 0.0000, 5.4285]],
  "species": ["Sc", "Sc", "Sc", "Sc", "Ti", "Ti", "Ti", "Ti", "Ti", "Ti", "Ti", "Ti", "Cu", "Cu", "Cu", "Cu"],
  "fractional_positions": [[0.0000, 0.0000, 0.0000], [0.0000, 0.5000, 0.2500], [0.5000, 0.0000, 0.7500], [0.5000, 0.5000, 0.5000], [0.2015, 0.2500, 0.6250], [0.2500, 0.7015, 0.8750], [0.2500, 0.7985, 0.3750], [0.2985, 0.2500, 0.1250], [0.7015, 0.7500, 0.1250], [0.7500, 0.2015, 0.3750], [0.7500, 0.2985, 0.8750], [0.7985, 0.7500, 0.6250], [0.0000, 0.0000, 0.5000], [0.0000, 0.5000, 0.7500], [0.5000, 0.0000, 0.2500], [0.5000, 0.5000, 0.0000]],
  "e_form_ev_per_atom": 0.2749,
  "volume_a3_per_atom": 18.3,
  "crystal_system": "tetragonal"
}

---

No. 6
{
  "formula": "Sc3TiCu",
  "functional": "GGA-PBE",
  "state": "optimized geometry",
  "cell": [[4.9328, 0.0000, 0.0000], [0.0000, 4.9328, 0.0000], [0.0000, 0.0000, 4.9328]],
  "species": ["Sc", "Sc", "Sc", "Ti", "Cu"],
  "fractional_positions": [[0.0000, 0.0000, 0.5000], [0.0000, 0.5000, 0.0000], [0.5000, 0.0000, 0.0000], [0.5000, 0.5000, 0.5000], [0.0000, 0.0000, 0.0000]],
  "e_form_ev_per_atom": 0.4150,
  "volume_a3_per_atom": 24.0,
  "crystal_system": "cubic"
}

---

No. 7
{
  "formula": "Sc3TiCu",
  "functional": "GGA-PBE",
  "state": "optimized geometry",
  "cell": [[4.9294, 0.0000, 0.0000], [0.0000, 4.9294, 0.0000], [0.0000, 0.0000, 4.9294]],
  "species": ["Sc", "Sc", "Sc", "Ti", "Cu"],
  "fractional_positions": [[0.0000, 0.0000, 0.5000], [0.0000, 0.5000, 0.0000], [0.5000, 0.0000, 0.0000], [0.0000, 0.0000, 0.0000], [0.5000, 0.5000, 0.5000]],
  "e_form_ev_per_atom": 0.7680,
  "volume_a3_per_atom": 24.0,
  "crystal_system": "cubic"
}

---

No. 8
{
  "formula": "Sc2TiCu2",
  "functional": "GGA-PBE",
  "state": "optimized geometry",
  "cell": [[7.6209, 0.0000, 0.0000], [0.0000, 7.6209, 0.0000], [0.0000, 0.0000, 3.0343]],
  "species": ["Sc", "Sc", "Sc", "Sc", "Ti", "Ti", "Cu", "Cu", "Cu", "Cu"],
  "fractional_positions": [[0.1525, 0.3475, 0.0000], [0.3475, 0.8475, 0.0000], [0.6525, 0.1525, 0.0000], [0.8475, 0.6525, 0.0000], [0.0000, 0.0000, 0.0000], [0.5000, 0.5000, 0.0000], [0.1435, 0.6435, 0.5000], [0.3565, 0.1435, 0.5000], [0.6435, 0.8565, 0.5000], [0.8565, 0.3565, 0.5000]],
  "e_form_ev_per_atom": -0.0030,
  "volume_a3_per_atom": 17.6,
  "crystal_system": "tetragonal"
}

---

Number 1: ρ 7.86 g/cm3, VASP energy -79.12 eV per cell. Number 2: ρ 5.02 g/cm3, VASP energy -101.09 eV per cell. Number 3: ρ 4.22 g/cm3, VASP energy -63.48 eV per cell. Number 4: ρ 5.71 g/cm3, VASP energy -91.48 eV per cell. Number 5: ρ 4.63 g/cm3, VASP energy -100.47 eV per cell. Number 6: ρ 3.41 g/cm3, VASP energy -28.91 eV per cell. Number 7: ρ 3.41 g/cm3, VASP energy -27.15 eV per cell. Number 8: ρ 4.99 g/cm3, VASP energy -57.53 eV per cell.